1.
DFT (PBE-GGA) results for Dy6Lu after structural relaxation.

Cell: 6.9215 6.9215 6.9215 Å, 109.47 109.47 109.47°
Fractional coordinates of all 7 atoms:
1 Dy 0.5000 0.7500 0.2500
2 Dy 0.2500 0.5000 0.7500
3 Dy 0.7500 0.5000 0.2500
4 Dy 0.2500 0.7500 0.5000
5 Dy 0.7500 0.2500 0.5000
6 Dy 0.5000 0.2500 0.7500
7 Lu 0.0000 0.0000 0.0000

Values from the calculation:
- Total magnetization: 0.0002 μB/atom
- N(E_F): 6.49 states/eV/f.u.
- E: -3.032 eV/atom

=====

2.
DFT (PBE-GGA) results for DyLu6 after structural relaxation.

Cell: 7.0005 7.0005 7.0005 Å, 109.47 109.47 109.47°
Fractional coordinates of all 7 atoms:
1 Lu 0.2500 0.7500 0.5000
2 Lu 0.2500 0.5000 0.7500
3 Lu 0.7500 0.2500 0.5000
4 Lu 0.5000 0.7500 0.2500
5 Lu 0.5000 0.2500 0.7500
6 Lu 0.7500 0.5000 0.2500
7 Dy 0.0000 0.0000 0.0000

Values from the calculation:
- Total magnetization: 0.0008 μB/atom
- N(E_F): 13.33 states/eV/f.u.
- E: -2.913 eV/atom

=====

3.
DFT (PBE-GGA) results for DyLu2 after structural relaxation.

Cell: 3.4712 3.4712 7.8146 Å, 102.83 102.83 90.00°
Fractional coordinates of all 3 atoms:
1 Lu 0.6675 0.6675 0.3350
2 Lu 0.3325 0.3325 0.6650
3 Dy 0.0000 0.0000 0.0000

Values from the calculation:
- Polymorph energy (0 for the lowest one): 0.000 eV/atom
- Total magnetization: 0.0000 μB/atom
- N(E_F): 4.05 states/eV/f.u.
- E: -4.517 eV/atom

=====

4.
DFT (PBE-GGA) results for DyLuMg after structural relaxation.

Cell: 3.3390 5.3947 5.3947 Å, 120.00 90.00 90.00°
Fractional coordinates of all 3 atoms:
1 Mg 0.3208 0.3333 0.6667
2 Dy 0.6267 0.6667 0.3333
3 Lu 0.0525 0.0000 0.0000

Values from the calculation:
- Polymorph energy (0 for the lowest one): 0.082 eV/atom
- Total magnetization: 0.0001 μB/atom
- N(E_F): 3.74 states/eV/f.u.
- E: -3.519 eV/atom

=====

5.
DFT (PBE-GGA) results for DyLuMg after structural relaxation.

Cell: 3.5569 3.5569 7.1277 Å, 104.45 104.45 90.00°
Last column: magnetic moment on the atom in μB.
Fractional coordinates of all 3 atoms:
1 Mg 0.6647 0.6647 0.3294  0.00
2 Dy 0.3297 0.3297 0.6593  -0.23
3 Lu 0.0057 0.0057 0.0113  -0.21

Values from the calculation:
- Polymorph energy (0 for the lowest one): 0.000 eV/atom
- Total magnetization: 0.2175 μB/atom
- N(E_F): 4.46 states/eV/f.u.
- E: -3.601 eV/atom

=====

6.
DFT (PBE-GGA) results for DyLuMg4 after structural relaxation.

Cell: 6.0002 6.0002 6.0002 Å, 60.00 60.00 60.00°
Fractional coordinates of all 6 atoms:
1 Mg 0.6250 0.6250 0.1251
2 Mg 0.1251 0.6250 0.6250
3 Mg 0.6250 0.6250 0.6250
4 Mg 0.6250 0.1251 0.6250
5 Dy 0.2500 0.2500 0.2500
6 Lu 0.0000 0.0000 0.0000

Values from the calculation:
- Total magnetization: 0.0000 μB/atom
- N(E_F): 7.29 states/eV/f.u.
- E: -2.635 eV/atom

=====

7.
DFT (PBE-GGA) results for NdDyLuMg after structural relaxation.

Cell: 5.5157 5.5157 5.5157 Å, 60.00 60.00 60.00°
Fractional coordinates of all 4 atoms:
1 Lu 0.5000 0.5000 0.5000
2 Mg 0.0000 0.0000 0.0000
3 Nd 0.7500 0.7500 0.7500
4 Dy 0.2500 0.2500 0.2500

Values from the calculation:
- Total magnetization: 0.0001 μB/atom
- N(E_F): 4.18 states/eV/f.u.
- E: -3.854 eV/atom

=====

8.
DFT (PBE-GGA) results for DyLuMgNi after structural relaxation.

Cell: 4.9934 4.9934 4.9934 Å, 60.00 60.00 60.00°
Fractional coordinates of all 4 atoms:
1 Dy 0.7500 0.7500 0.7500
2 Mg 0.5000 0.5000 0.5000
3 Lu 0.2500 0.2500 0.2500
4 Ni 0.0000 0.0000 0.0000

Values from the calculation:
- Total magnetization: 0.0002 μB/atom
- N(E_F): 2.92 states/eV/f.u.
- E: -4.255 eV/atom

=====

Q: What is the E in the sixth record?
A: -2.635 eV/atom

=====

Q: Which of these has the lowest N(E_F)?
A: DyLuMgNi

=====

Q: Number 8 is which compound?
A: DyLuMgNi